Entry 1:
Below is a relaxed structure of NaNdErTl, with properties calculated at the GGA-PBE level.

a b c (Å): 7.730 7.730 7.730
angles (deg): 90.00 90.00 90.00
Space group F-43m (No. 216)
Symmetry-distinct sites (fractional):
Na 0.000 0.000 0.000 x4
Nd 0.250 0.250 0.250 x4
Er 0.250 0.250 0.750 x4
Tl 0.000 0.000 0.500 x4

Properties
* energy of formation from the pure elements: -6 kJ per mole of atoms
* magnetic moment: 0.00 μB per formula unit

---

Entry 2:
Below is a relaxed structure of BaSc2In, with properties calculated at the GGA-PBE level.

a b c (Å): 3.785 5.369 5.757
angles (deg): 90.00 90.00 90.00
Space group Pmmm (No. 47)
Symmetry-distinct sites (fractional):
Ba 0.000 0.000 0.000 x1
Sc 0.000 0.500 0.500 x1
Sc 0.500 0.500 0.000 x1
In 0.500 0.000 0.500 x1

Properties
* energy of formation from the pure elements: 11 kJ per mole of atoms
* magnetic moment: 0.32 μB per formula unit

---

Entry 3:
Below is a relaxed structure of AcSc3, with properties calculated at the GGA-PBE level.

a b c (Å): 6.9887 6.9887 5.5170
angles (deg): 90.00 90.00 120.00
Space group P6_3/mmc (No. 194)
Symmetry-distinct sites (fractional):
Ac 0.3333 0.6667 0.2500 x2
Sc 0.1573 0.3145 0.7500 x6

Properties
* energy above the most stable polymorph in this dataset: 0.00 eV per formula unit
* energy of formation from the pure elements: 11 kJ per mole of atoms
* magnetic moment: 0.29 μB per formula unit

---

Entry 4:
Below is a relaxed structure of Ac8MgTl6, with properties calculated at the GGA-PBE level.

a b c (Å): 9.8616 9.8616 20.9482
angles (deg): 90.00 90.00 120.00
Space group R-3 (No. 148, hexagonal axes)
Symmetry-distinct sites (fractional):
Ac 0.0000 0.0000 0.1655 x6
Ac 0.0031 0.3208 0.6082 x18
Mg 0.0000 0.0000 0.5000 x3
Tl 0.0020 0.3264 0.4429 x18

Properties
* energy of formation from the pure elements: -14 kJ per mole of atoms
* magnetic moment: 0.00 μB per formula unit